NpHgPd2O6 GGA-PBE relaxed; total magnetic moment = 1.0 μB per formula unit; raw formation energy = -1.213 eV/atom
1.0
5.4431 0.0000 0.0000
2.4508 5.1438 0.0000
2.6169 -0.4146 5.4551
Np Hg Pd O
1 1 2 6
Cartesian
0.0000 0.0000 0.0000
5.1240 2.1500 2.8123
2.6408 0.6262 2.6144
7.8345 3.0267 5.2905
4.0629 3.3175 4.1833
3.4441 3.6152 0.8025
3.9561 -0.1797 3.9539
6.0516 4.9278 1.0173
7.2067 1.3179 4.3251
6.4941 1.2425 1.4849


SmYSc GGA-PBE relaxed; total magnetic moment = 0.0 μB per formula unit; formation enthalpy at 0 K = 0.08 eV per atom; ΔE to the lowest computed polymorph = 30 meV/atom
1.0
5.4780 0.0000 0.0000
-2.7390 4.7441 0.0000
0.0000 0.0000 3.4459
Sm Y Sc
1 1 1
Cartesian
0.0000 0.0000 0.0000
2.7390 1.5814 1.7229
0.0000 3.1627 0.0000


SrLa2Sb GGA-PBE relaxed; total magnetic moment = 0.0 μB per formula unit; raw formation energy = -0.301 eV/atom
1.0
3.5079 -5.9594 0.0000
3.5079 5.9594 0.0000
-1.7010 0.0000 3.2653
Sr La Sb
1 2 1
Cartesian
0.0000 0.0000 0.0000
0.9034 2.9797 1.6327
0.9034 -2.9797 1.6327
3.5079 0.0000 0.0000